1.
Compound: Zn3InRe
Source: the Alexandria database
Functional: PBE-GGA
Structure: relaxed

abc: 4.8998 4.8998 4.8998
angles: 90.00 90.00 90.00
Last column: nearest neighbours and their distance in Å.
Element x y z (fractional)
Re  0.0000  0.0000  0.0000  6 Zn 2.45
Zn  0.0000  0.5000  0.0000  2 Re 2.45
Zn  0.0000  0.0000  0.5000  2 Re 2.45
Zn  0.5000  0.0000  0.0000  2 Re 2.45
In  0.5000  0.5000  0.5000  12 Zn 3.46

Computed properties:
The space group is No. 221. As for the spin magnetization: 0.00 μB per atom. Its energy relative to the elements is 809 meV/atom. Its energy is -14.96 eV for the cell shown.



2.
Compound: ScIn3N
Source: the Alexandria database
Functional: PBE-GGA
Structure: relaxed

abc: 5.5837 5.5837 5.5837
angles: 90.00 90.00 90.00
Last column: nearest neighbours and their distance in Å.
Element x y z (fractional)
Sc  0.0000  0.0000  0.0000  6 In 2.79
N  0.5000  0.5000  0.5000  12 In 3.95
In  0.0000  0.5000  0.0000  2 Sc 2.79
In  0.0000  0.0000  0.5000  2 Sc 2.79
In  0.5000  0.0000  0.0000  2 Sc 2.79

Computed properties:
The space group is No. 221. As for the spin magnetization: 0.21 μB per atom. The formation energy without anion corrections is 1.658 eV per atom. Its energy is -14.58 eV for the cell shown.



3.
Compound: TbPaRhAu
Source: the Alexandria database
Functional: PBE-GGA
Structure: relaxed

abc: 5.0009 5.0009 5.0009
angles: 60.00 60.00 60.00
Last column: nearest neighbours and their distance in Å.
Element x y z (fractional)
Tb  0.5000  0.5000  0.5000  4 Rh 3.06, 4 Au 3.06
Pa  0.0000  0.0000  0.0000  4 Rh 3.06, 4 Au 3.06
Au  0.2500  0.2500  0.2500  4 Tb 3.06, 4 Pa 3.06
Rh  0.7500  0.7500  0.7500  4 Pa 3.06, 4 Tb 3.06

Computed properties:
The space group is No. 216. As for the spin magnetization: 0.18 μB per atom. Its energy relative to the elements is -522 meV/atom. Its energy is -26.84 eV for the cell shown.



4.
Compound: Ge2RuBr
Source: the Alexandria database
Functional: PBE-GGA
Structure: relaxed

abc: 6.0698 6.0698 7.3100
angles: 65.47 65.47 90.00
Last column: nearest neighbours and their distance in Å.
Element x y z (fractional)
Ru  0.0000  0.0000  0.0000  4 Ge 2.34
Ru  0.7500  0.2500  0.5000  4 Ge 2.34
Ge  0.7124  0.1250  0.2500  2 Ru 2.34
Ge  0.0376  0.6250  0.2500  2 Ru 2.34
Ge  0.3750  0.2876  0.7500  2 Ru 2.34
Ge  0.8750  0.9624  0.7500  2 Ru 2.34
Br  0.5000  0.5000  0.0000  4 Ge 2.95
Br  0.2500  0.7500  0.5000  4 Ge 2.95

Computed properties:
The space group is No. 122. As for the spin magnetization: 0.00 μB per atom. The formation energy without anion corrections is 0.244 eV per atom. Its energy is -38.42 eV for the cell shown.



The highest energy belongs to which entry?
ScIn3N